Here is a relaxed SiTe2Au crystal from Alexandria. Energies are from PBEsol.

Lattice parameters (Å, degrees): 6.001 6.001 7.845 112.49 112.49 90.00
Atoms (fractional coordinates):
Si (0.750, 0.250, 0.500)
Si (0.500, 0.500, 0.000)
Te (0.386, 0.875, 0.250)
Te (0.864, 0.375, 0.250)
Te (0.125, 0.136, 0.750)
Te (0.625, 0.614, 0.750)
Au (0.250, 0.750, 0.500)
Au (0.000, 0.000, 0.000)

Summary:
formation energy (no corrections) = 0.19 eV per atom

Here is a relaxed La2TlCu crystal from Alexandria. Energies are from PBEsol.

Lattice parameters (Å, degrees): 3.708 5.091 6.279 113.91 107.17 90.00
Atoms (fractional coordinates):
Tl (0.453, 0.453, 0.905)
Cu (0.767, 0.267, 0.535)
La (0.037, 0.037, 0.074)
La (0.243, 0.743, 0.486)

Summary:
energy of formation from the pure elements = -0.222 eV per atom

Here is a relaxed La2CdRh2 crystal from Alexandria. Energies are from PBEsol.

Lattice parameters (Å, degrees): 3.860 7.596 7.596 90.00 90.00 90.00
Atoms (fractional coordinates):
Cd (0.000, 0.000, 0.000)
Cd (0.000, 0.500, 0.500)
La (0.500, 0.167, 0.667)
La (0.500, 0.833, 0.333)
La (0.500, 0.333, 0.167)
La (0.500, 0.667, 0.833)
Rh (0.000, 0.363, 0.863)
Rh (0.000, 0.637, 0.137)
Rh (0.000, 0.137, 0.363)
Rh (0.000, 0.863, 0.637)

Summary:
energy of formation from the pure elements = -0.586 eV per atom

Here is a relaxed KBeNi2 crystal from Alexandria. Energies are from PBEsol.

Lattice parameters (Å, degrees): 2.868 2.868 7.229 90.00 90.00 90.00
Atoms (fractional coordinates):
Ni (0.000, 0.000, 0.085)
Ni (0.500, 0.500, 0.279)
K (0.500, 0.500, 0.752)
Be (0.000, 0.000, 0.383)

Summary:
energy of formation from the pure elements = 0.423 eV per atom

Here is a relaxed Sc2CuAs2 crystal from Alexandria. Energies are from PBEsol.

Lattice parameters (Å, degrees): 5.185 5.379 5.185 61.19 90.00 118.81
Atoms (fractional coordinates):
As (0.302, 0.604, 0.698)
As (0.698, 0.396, 0.302)
Cu (0.000, 0.000, 0.000)
Sc (0.750, 0.500, 0.750)
Sc (0.250, 0.500, 0.250)

Summary:
energy of formation from the pure elements = -0.545 eV per atom

Here is a relaxed Ru4W11 crystal from Alexandria. Energies are from PBEsol.

Lattice parameters (Å, degrees): 4.967 9.583 9.583 90.00 90.00 90.00
Atoms (fractional coordinates):
Ru (0.000, 0.068, 0.263)
Ru (0.000, 0.932, 0.737)
Ru (0.500, 0.237, 0.568)
Ru (0.500, 0.763, 0.432)
Ru (0.500, 0.432, 0.763)
Ru (0.500, 0.568, 0.237)
Ru (0.000, 0.263, 0.068)
Ru (0.000, 0.737, 0.932)
W (0.000, 0.000, 0.000)
W (0.500, 0.500, 0.500)
W (0.000, 0.398, 0.602)
W (0.000, 0.602, 0.398)
W (0.500, 0.898, 0.898)
W (0.500, 0.102, 0.102)
W (0.000, 0.131, 0.536)
W (0.000, 0.869, 0.464)
W (0.500, 0.964, 0.631)
W (0.500, 0.036, 0.369)
W (0.500, 0.369, 0.036)
W (0.500, 0.631, 0.964)
W (0.000, 0.536, 0.131)
W (0.000, 0.464, 0.869)
W (0.250, 0.316, 0.316)
W (0.250, 0.684, 0.684)
W (0.750, 0.184, 0.816)
W (0.750, 0.816, 0.184)
W (0.250, 0.184, 0.816)
W (0.250, 0.816, 0.184)
W (0.750, 0.316, 0.316)
W (0.750, 0.684, 0.684)

Summary:
energy of formation from the pure elements = 0.071 eV per atom

Here is a relaxed Sr2LiCa crystal from Alexandria. Energies are from PBEsol.

Lattice parameters (Å, degrees): 4.160 4.160 9.548 90.00 90.00 90.00
Atoms (fractional coordinates):
Sr (0.000, 0.000, 0.955)
Sr (0.500, 0.500, 0.266)
Ca (0.000, 0.000, 0.548)
Li (0.500, 0.500, 0.731)

Summary:
energy of formation from the pure elements = 0.016 eV per atom
energy relative to the lowest polymorph listed for this composition = 0.0000 eV/atom

Here is a relaxed Ta3VH crystal from Alexandria. Energies are from PBEsol.

Lattice parameters (Å, degrees): 4.127 4.127 4.127 90.00 90.00 90.00
Atoms (fractional coordinates):
H (0.000, 0.000, 0.000)
V (0.500, 0.500, 0.500)
Ta (0.000, 0.500, 0.000)
Ta (0.000, 0.000, 0.500)
Ta (0.500, 0.000, 0.000)

Here is a relaxed La2TcBr crystal from Alexandria. Energies are from PBEsol.

Lattice parameters (Å, degrees): 3.563 3.563 8.443 83.54 83.54 75.29
Atoms (fractional coordinates):
Tc (0.500, 0.500, 0.500)
Br (0.500, 0.500, 0.000)
La (0.946, 0.946, 0.710)
La (0.054, 0.054, 0.290)

Summary:
formation energy (no corrections) = -0.62 eV per atom
energy relative to the lowest polymorph listed for this composition = 0.0000 eV/atom

Here is a relaxed Sc5Ag crystal from Alexandria. Energies are from PBEsol.

Lattice parameters (Å, degrees): 4.195 4.451 7.280 90.00 106.74 90.00
Atoms (fractional coordinates):
Sc (0.171, 0.500, 0.343)
Sc (0.341, 0.000, 0.682)
Sc (0.500, 0.500, 0.000)
Sc (0.659, 0.000, 0.318)
Sc (0.829, 0.500, 0.657)
Ag (0.000, 0.000, 0.000)

Summary:
energy of formation from the pure elements = -0.015 eV per atom
energy relative to the lowest polymorph listed for this composition = 0.0344 eV/atom

Here is a relaxed BaTcTe2 crystal from Alexandria. Energies are from PBEsol.

Lattice parameters (Å, degrees): 3.747 5.368 5.368 90.00 90.00 90.00
Site moments in Bohr magnetons follow the coordinates.
Atoms (fractional coordinates):
Ba (0.500, 0.500, 0.500)  0.01
Tc (0.500, 0.000, 0.000)  2.50
Te (0.000, 0.500, 0.000)  -0.06
Te (0.000, 0.000, 0.500)  -0.06

Summary:
formation energy (no corrections) = 0.10 eV per atom
energy relative to the lowest polymorph listed for this composition = 0.2944 eV/atom

Here is a relaxed MnCd2Te crystal from Alexandria. Energies are from PBEsol.

Lattice parameters (Å, degrees): 4.944 4.944 4.944 60.00 60.00 60.00
Site moments in Bohr magnetons follow the coordinates.
Atoms (fractional coordinates):
Cd (0.000, 0.000, 0.000)  -0.03
Cd (0.750, 0.750, 0.750)  -0.03
Mn (0.500, 0.500, 0.500)  3.73
Te (0.250, 0.250, 0.250)  -0.07

Summary:
formation energy (no corrections) = 0.39 eV per atom

Here is a relaxed LaGa3Fe crystal from Alexandria. Energies are from PBEsol.

Lattice parameters (Å, degrees): 5.448 5.448 5.448 90.00 90.00 90.00
Site moments in Bohr magnetons follow the coordinates.
Atoms (fractional coordinates):
Fe (0.500, 0.500, 0.500)  3.34
Ga (0.000, 0.500, 0.000)  -0.03
Ga (0.000, 0.000, 0.500)  -0.03
Ga (0.500, 0.000, 0.000)  -0.03
La (0.000, 0.000, 0.000)  -0.06

Summary:
energy of formation from the pure elements = 1.538 eV per atom

Here is a relaxed MnCuN2 crystal from Alexandria. Energies are from PBEsol.

Lattice parameters (Å, degrees): 2.869 2.869 5.910 75.95 75.95 60.00
Site moments in Bohr magnetons follow the coordinates.
Atoms (fractional coordinates):
Mn (0.000, 0.000, 0.000)  1.97
Cu (0.500, 0.500, 0.500)  -0.10
N (0.898, 0.898, 0.307)  -0.10
N (0.102, 0.102, 0.693)  -0.10

Summary:
formation energy (no corrections) = 0.77 eV per atom
energy relative to the lowest polymorph listed for this composition = 0.7050 eV/atom

Here is a relaxed V2ZnCu2O8 crystal from Alexandria. Energies are from PBEsol.

Lattice parameters (Å, degrees): 6.432 8.241 11.534 90.00 90.36 90.00
Site moments in Bohr magnetons follow the coordinates.
Atoms (fractional coordinates):
V (0.105, 0.542, 0.847)  0.03
V (0.105, 0.958, 0.347)  0.03
V (0.607, 0.912, 0.134)  0.09
V (0.895, 0.042, 0.653)  0.03
V (0.393, 0.088, 0.866)  0.09
V (0.393, 0.412, 0.366)  0.09
V (0.607, 0.588, 0.634)  0.09
V (0.895, 0.458, 0.153)  0.03
Zn (0.111, 0.836, 0.051)  0.00
Zn (0.889, 0.164, 0.949)  0.00
Zn (0.889, 0.336, 0.449)  0.00
Zn (0.111, 0.664, 0.551)  0.00
Cu (0.765, 0.817, 0.872)  0.57
Cu (0.377, 0.946, 0.625)  0.57
Cu (0.623, 0.054, 0.375)  0.57
Cu (0.235, 0.183, 0.128)  0.57
Cu (0.765, 0.683, 0.372)  0.57
Cu (0.377, 0.554, 0.125)  0.57
Cu (0.235, 0.317, 0.628)  0.57
Cu (0.623, 0.446, 0.875)  0.57
O (0.040, 0.763, 0.394)  0.09
O (0.661, 0.990, 0.596)  0.08
O (0.192, 0.422, 0.471)  0.06
O (0.808, 0.922, 0.029)  0.06
O (0.040, 0.737, 0.894)  0.09
O (0.960, 0.237, 0.606)  0.09
O (0.084, 0.899, 0.613)  0.08
O (0.505, 0.097, 0.140)  0.07
O (0.505, 0.403, 0.640)  0.07
O (0.312, 0.132, 0.724)  0.13
O (0.688, 0.632, 0.776)  0.13
O (0.495, 0.903, 0.860)  0.07
O (0.916, 0.101, 0.387)  0.08
O (0.877, 0.461, 0.300)  0.04
O (0.419, 0.721, 0.586)  0.08
O (0.419, 0.779, 0.086)  0.08
O (0.123, 0.961, 0.200)  0.04
O (0.495, 0.597, 0.360)  0.07
O (0.123, 0.539, 0.700)  0.04
O (0.808, 0.578, 0.529)  0.06
O (0.661, 0.510, 0.096)  0.08
O (0.688, 0.868, 0.276)  0.13
O (0.960, 0.263, 0.106)  0.09
O (0.084, 0.601, 0.113)  0.08
O (0.192, 0.078, 0.971)  0.06
O (0.581, 0.221, 0.914)  0.08
O (0.339, 0.010, 0.404)  0.08
O (0.339, 0.490, 0.904)  0.08
O (0.916, 0.399, 0.887)  0.08
O (0.581, 0.279, 0.414)  0.08
O (0.312, 0.368, 0.224)  0.13
O (0.877, 0.039, 0.800)  0.04

Summary:
formation energy (no corrections) = -1.63 eV per atom

Here is a relaxed TaNiOs2 crystal from Alexandria. Energies are from PBEsol.

Lattice parameters (Å, degrees): 2.684 4.367 4.860 90.00 96.22 90.00
Atoms (fractional coordinates):
Ni (0.000, 0.500, 0.500)
Os (0.798, 0.000, 0.730)
Os (0.202, 0.000, 0.270)
Ta (0.500, 0.500, 0.000)

Summary:
energy of formation from the pure elements = 0.063 eV per atom

Here is a relaxed Cu2PAu crystal from Alexandria. Energies are from PBEsol.

Lattice parameters (Å, degrees): 2.899 4.418 4.418 106.97 90.00 90.00
Atoms (fractional coordinates):
Au (0.500, 0.500, 0.500)
Cu (0.000, 0.500, 0.000)
Cu (0.000, 0.000, 0.500)
P (0.500, 0.000, 0.000)

Summary:
energy of formation from the pure elements = 0.119 eV per atom

Here is a relaxed Ba2ScTc crystal from Alexandria. Energies are from PBEsol.

Lattice parameters (Å, degrees): 3.686 3.686 9.239 90.00 90.00 89.99
Atoms (fractional coordinates):
Ba (0.000, 0.000, 0.077)
Ba (0.500, 0.500, 0.679)
Sc (0.000, 0.000, 0.420)
Tc (0.500, 0.500, 0.324)

Summary:
energy of formation from the pure elements = 0.382 eV per atom
energy relative to the lowest polymorph listed for this composition = 0.0094 eV/atom

Here is a relaxed BeFeMo crystal from Alexandria. Energies are from PBEsol.

Lattice parameters (Å, degrees): 2.542 3.928 3.928 120.00 90.00 90.00
Site moments in Bohr magnetons follow the coordinates.
Atoms (fractional coordinates):
Be (0.914, 0.000, 0.000)  0.00
Mo (0.365, 0.667, 0.333)  -0.10
Fe (0.720, 0.333, 0.667)  0.96

Summary:
energy of formation from the pure elements = 0.013 eV per atom
energy relative to the lowest polymorph listed for this composition = 0.0480 eV/atom

Here is a relaxed Cd3Se crystal from Alexandria. Energies are from PBEsol.

Lattice parameters (Å, degrees): 2.932 2.932 11.420 90.00 90.00 120.00
Atoms (fractional coordinates):
Cd (0.000, 0.000, 0.246)
Cd (0.000, 0.000, 0.754)
Cd (0.333, 0.667, 0.000)
Se (0.333, 0.667, 0.500)

Summary:
formation energy (no corrections) = 0.09 eV per atom

Results for E: -3.990 -4.637 -6.219 -3.939 -6.096 -12.767 -1.929 -9.941 -6.581 -6.071 -5.015 -3.530 -3.328 -7.019 -7.127 -10.722 -4.477 -5.160 -8.231 -1.771 (in eV/atom, following the order of the records).